BPS2O, optimized geometry, DFT PBE-GGA; crystal system = tetragonal; polymorph energy (0 for the lowest one) = 0 meV/atom; uncorrected formation energy = 27.08 kcal/mol of atoms
1.0
3.8613 0.0000 0.0000
0.0000 3.8613 0.0000
0.0000 0.0000 4.5179
P S B O
1 2 1 1
Cartesian
0.0000 0.0000 2.2589
0.0000 1.9306 0.0000
1.9306 0.0000 0.0000
0.0000 0.0000 0.0000
1.9306 1.9306 2.2589